No. 1
Density functional theory data (PBE) for a geometry-optimized KBa4I10 structure.

Structure (extended XYZ):
```
15
Lattice="2.968 1.714 24.052 -2.968 1.714 24.052 0.000 -3.427 24.052" Properties=species:S:1:pos:R:3 pbc="T T T"
K 0.000 0.000 0.000
Ba 0.000 0.000 14.435
Ba 0.000 0.000 28.823
Ba 0.000 0.000 43.333
Ba 0.000 0.000 57.721
I 0.000 0.000 3.668
I 0.000 0.000 10.814
I 0.000 0.000 18.046
I 0.000 0.000 25.283
I 0.000 0.000 32.469
I 0.000 0.000 39.686
I 0.000 0.000 46.872
I 0.000 0.000 54.109
I 0.000 0.000 61.341
I 0.000 0.000 68.487
```

Properties
**ΔE_f (raw)**: -1.574 eV/atom


No. 2
Density functional theory data (PBE) for a geometry-optimized SrLiCd2Pb structure.

Structure (extended XYZ):
```
5
Lattice="5.079 0.000 0.000 0.000 5.079 0.000 0.000 0.000 5.279" Properties=species:S:1:pos:R:3 pbc="T T T"
Sr 0.000 0.000 0.000
Li 2.539 2.539 2.640
Cd 0.000 2.539 2.640
Cd 2.539 0.000 2.640
Pb 2.539 2.539 0.000
```

Properties
**Calculated formation energy**: -0.1793 eV/atom


No. 3
Density functional theory data (PBE) for a geometry-optimized Pu2Tl2Pd5 structure.

Structure (extended XYZ):
```
9
Lattice="6.497 -2.126 0.000 6.497 2.126 0.000 -2.043 0.000 6.509" Properties=species:S:1:pos:R:3 pbc="T T T"
Pu 0.170 0.000 2.068
Pu 10.782 0.000 4.442
Tl 4.126 0.000 1.927
Tl 6.826 0.000 4.582
Pd 0.042 0.000 6.477
Pd 2.291 0.000 4.403
Pd 6.497 0.000 0.000
Pd 8.661 0.000 2.106
Pd 10.909 0.000 0.032
```

Properties
**Calculated formation energy**: -0.3319 eV/atom


Number 1: magnetization 0.422 Bohr magnetons per cell. Number 2: magnetization 0.000 Bohr magnetons per cell. Number 3: magnetization 10.779 Bohr magnetons per cell.